# PBE with a Hubbard U Tl2NiF, optimized geometry
data_Tl2NiF
_chemical_formula_sum 'Tl8 Ni4 F4'
_cell_length_a 5.704
_cell_length_b 5.704
_cell_length_c 12.597
_cell_angle_alpha 90.00
_cell_angle_beta 90.00
_cell_angle_gamma 90.00
_space_group_name_H-M_alt 'I -4 2 d'
_space_group_IT_number 122
_space_group_name_Hall 'I -4 2bw'
loop_
_atom_site_label
_atom_site_fract_x
_atom_site_fract_y
_atom_site_fract_z
_atom_site_occupancy
Tl1 0.240 0.250 0.125 1
Ni1 0.000 0.000 0.000 1
F1 0.000 0.000 0.500 1
# E above lowest polymorph	0.0	kJ per mole of atoms